The following is a DFT calculation (GGA+U) of crystalline BaWF2 at its relaxed geometry.

Geometry as POSCAR:
```
BaWF2
1.0
0.0000 3.4832 3.4832
3.4832 0.0000 3.4832
3.4832 3.4832 0.0000
Ba W F
1 1 2
Direct
0.0000 0.0000 0.0000
0.5000 0.5000 0.5000
0.2500 0.2500 0.2500
0.7500 0.7500 0.7500
```

Output
Total DFT energy (no corrections): -17.99 eV per cell
Crystal system: cubic
ΔE to the lowest computed polymorph: 54.8 kJ/mol of formula units
M_tot: 6.0 Bohr magnetons per cell
D(E_F): 0.13 states/eV/f.u.